No. 1
VASP calculation (GGA-PBE) on TbTm3Sn3 after structural relaxation.

Lattice parameters (Å, degrees): 6.361 6.361 6.361 109.56 109.56 109.56
Fractional positions:
Tb 0.945 0.945 0.945
Sn 0.542 0.044 0.044
Tm 0.543 0.543 0.138
Tm 0.138 0.543 0.543
Sn 0.044 0.044 0.542
Tm 0.543 0.138 0.543
Sn 0.044 0.542 0.044

Total magnetization, μB per atom: 0.00
Formation energy, eV per atom: -0.50
Space group: R3m (160)

No. 2
VASP calculation (GGA-PBE) on CeScCo2 after structural relaxation.

Lattice parameters (Å, degrees): 3.225 4.592 4.592 90.00 90.00 90.00
Fractional positions:
Co 0.000 0.000 0.500
Co 0.000 0.500 0.000
Ce 0.500 0.500 0.500
Sc 0.500 0.000 0.000

Total magnetization, μB per atom: 0.00
Formation energy, eV per atom: -0.22
Space group: P4/mmm (123)

No. 3
VASP calculation (GGA-PBE) on FePHAuC after structural relaxation.

Lattice parameters (Å, degrees): 2.758 2.865 17.026 90.00 91.34 90.00
Fractional positions:
P 0.668 0.500 0.548
C 0.158 0.000 0.974
Fe 0.653 0.500 0.940
Au 0.134 0.000 0.812
Au 0.134 0.500 0.312
Fe 0.653 0.000 0.440
P 0.668 0.000 0.048
C 0.158 0.500 0.474
H 0.625 0.000 0.747
H 0.625 0.500 0.247

Total magnetization, μB per atom: 0.20
ΔE to the lowest computed polymorph, meV/atom: 175
Space group: Cm (8)

No. 4
VASP calculation (GGA-PBE) on Np2SnP after structural relaxation.

Lattice parameters (Å, degrees): 3.763 3.763 8.487 77.19 77.19 60.00
Fractional positions:
Sn 0.500 0.500 0.500
P 0.000 0.000 0.000
Np 0.736 0.736 0.792
Np 0.264 0.264 0.208

Total magnetization, μB per atom: 1.99
ΔE to the lowest computed polymorph, meV/atom: 120
Formation energy, eV per atom: -0.27
Space group: R-3m (166)

No. 5
VASP calculation (GGA-PBE) on PuBr2Cl5 after structural relaxation.

Lattice parameters (Å, degrees): 5.262 8.366 8.300 84.43 71.49 71.71
Fractional positions:
Cl 0.806 0.002 0.314
Cl 0.118 0.689 0.001
Pu 0.964 0.000 0.000
Cl 0.808 0.311 0.999
Br 0.220 0.500 0.500
Cl 0.122 0.998 0.686
Cl 0.464 0.000 0.000
Br 0.720 0.500 0.500

Total magnetization, μB per atom: 0.46
Space group: C2 (5)
E_form (uncorrected), eV per atom: -0.9740

No. 6
VASP calculation (GGA-PBE) on K2VI5 after structural relaxation.

Lattice parameters (Å, degrees): 7.227 8.364 8.513 95.73 115.10 115.61
Fractional positions:
K 0.551 0.344 0.796
K 0.466 0.711 0.260
I 0.638 0.028 0.028
I 0.891 0.782 0.733
I 0.433 0.274 0.323
V 0.001 0.028 0.028
I 0.964 0.757 0.206
I 0.057 0.299 0.850

Total magnetization, μB per atom: 0.25
Space group: C2 (5)
E_form (uncorrected), eV per atom: -0.9224

No. 7
VASP calculation (GGA-PBE) on ScTlGeCl6 after structural relaxation.

Lattice parameters (Å, degrees): 6.810 6.811 7.006 90.01 90.01 60.00
Fractional positions:
Cl 0.362 0.619 0.293
Cl 0.362 0.019 0.707
Cl 0.019 0.362 0.293
Cl 0.619 0.019 0.293
Cl 0.019 0.619 0.707
Sc 0.333 0.333 0.500
Cl 0.619 0.362 0.707
Tl 0.000 0.000 0.000
Ge 0.667 0.667 0.500

Total magnetization, μB per atom: 0.00
Space group: P312 (149)
E_form (uncorrected), eV per atom: -1.4529

No. 8
VASP calculation (GGA-PBE) on NaTlF4 after structural relaxation.

Lattice parameters (Å, degrees): 3.595 5.171 5.171 92.55 90.00 90.00
Fractional positions:
Tl 0.000 0.500 0.500
F 0.500 0.313 0.687
F 0.000 0.205 0.205
F 0.500 0.687 0.313
F 0.000 0.795 0.795
Na 0.500 0.000 0.000

Total magnetization, μB per atom: 0.00
ΔE to the lowest computed polymorph, meV/atom: 0
Space group: Cmmm (65)
E_form (uncorrected), eV per atom: -2.1768

No. 9
VASP calculation (GGA-PBE) on LaIr3Pd after structural relaxation.

Lattice parameters (Å, degrees): 4.822 4.822 4.822 90.00 90.00 90.00
Fractional positions:
Ir 0.000 0.000 0.500
Pd 0.000 0.000 0.000
La 0.500 0.500 0.500
Ir 0.000 0.500 0.000
Ir 0.500 0.000 0.000

Total magnetization, μB per atom: 0.54
ΔE to the lowest computed polymorph, meV/atom: 0
Formation energy, eV per atom: 0.94
Space group: Pm-3m (221)